# 1
Entry from the Alexandria database: a relaxed InAgHgRh2 crystal (PBE-GGA).

abc: 4.930 5.206 4.930
angles: 90.00 90.00 90.00
Each line ends with the local moment (μB).
Positions (direct):
Rh  0.000  0.000  0.500  0.12
Rh  0.500  0.000  0.000  0.10
Hg  0.000  0.500  0.000  0.00
Ag  0.500  0.500  0.500  0.00
In  0.000  0.000  0.000  -0.01

Output
**ρ**: 8.26 g/cm³
**Energy relative to the elements**: 1108 meV/atom
**Magnetization**: 0.21 μB per formula unit


# 2
Entry from the Alexandria database: a relaxed ScIr3 crystal (PBE-GGA).

abc: 4.482 4.482 4.482
angles: 60.00 60.00 60.00
Each line ends with the local moment (μB).
Positions (direct):
Ir  0.000  0.000  0.000  0.48
Ir  0.500  0.500  0.500  0.48
Ir  0.250  0.250  0.250  0.46
Sc  0.750  0.750  0.750  -0.01

Output
**ρ**: 16.22 g/cm³
**Energy relative to the elements**: -112 meV/atom
**Magnetization**: 1.41 μB per formula unit